# 1
Ba2MgAu | PBE | optimized geometry

a = 4.8652 Å, b = 4.9664 Å, c = 6.9095 Å
α = 68.96°, β = 90.00°, γ = 90.00°
Fractional positions:
Ba  0.0000  0.9820  0.9108
Ba  0.5000  0.2674  0.3405
Mg  0.0000  0.6799  0.5141
Au  0.5000  0.5707  0.7346

Output
SG = Pm, No. 6
DFT formation energy = -0.39 eV per atom
Total magnetization = 0.00 μB per cell
D(E_F) = 2.8 states/eV/f.u.



# 2
Ca2TaCd | PBE | optimized geometry

a = 3.2761 Å, b = 3.2761 Å, c = 9.8973 Å
α = 90.00°, β = 90.00°, γ = 90.00°
Fractional positions:
Ca  0.5000  0.5000  0.2904
Cd  0.0000  0.0000  0.5272
Ta  0.5000  0.5000  0.7233
Ca  0.0000  0.0000  0.9591

Output
SG = P4mm, No. 99
DFT formation energy = 0.38 eV per atom
Total magnetization = 0.00 μB per cell
D(E_F) = 3.7 states/eV/f.u.